No. 1
CoSbO2 after structural relaxation, computed with PBE with a Hubbard U.

## Properties
Raw total energy ... -86.97 eV for the cell shown
Total magnetic moment ... 9.41 μB per cell

abc: 5.138 5.138 9.295
angles: 90.00 90.00 90.00
Space group I-42d (No. 122)
Asymmetric unit:
Co: 0.000 0.000 0.000 [4 per cell]
Sb: 0.000 0.000 0.500 [4 per cell]
O: 0.193 0.250 0.125 [8 per cell]

No. 2
CoSbO3 after structural relaxation, computed with PBE with a Hubbard U.

## Properties
Raw total energy ... -27.52 eV for the cell shown
Total magnetic moment ... 0.00 μB per cell

abc: 3.727 3.727 3.727
angles: 90.00 90.00 90.00
Space group Pm-3m (No. 221)
Asymmetric unit:
Co: 0.000 0.000 0.000 [1 per cell]
Sb: 0.500 0.500 0.500 [1 per cell]
O: 0.000 0.000 0.500 [3 per cell]

No. 3
Co2Sb2O7 after structural relaxation, computed with PBE with a Hubbard U.

## Properties
Distance to the lowest polymorph of the same formula ... 0.000 kcal/mol of atoms
Total magnetic moment ... 47.59 μB per cell

abc: 10.161 10.161 10.161
angles: 90.00 90.00 90.00
Space group Fd-3m (No. 227, origin choice 2)
Asymmetric unit:
Co: 0.000 0.000 0.000 [16 per cell]
Sb: 0.000 0.000 0.500 [16 per cell]
O: 0.082 0.375 0.875 [48 per cell]
O: 0.125 0.125 0.125 [8 per cell]

What is the total magnetic moment in the second record?
0.00 μB per cell